First-principles (PBE) data for crystalline Nb2CrCl at its relaxed geometry, as listed in Alexandria via LeMat-Bulk.

Results
- crystal system = tetragonal

Cell: 7.6773 7.6773 7.6773 Å, 142.77 142.77 53.67°
With the nearest neighbours (Å) after each atom.
Sites, in units of the cell vectors:
Nb 0.0961 0.6250 0.9711  2 Cr 2.37, 2 Cl 2.51
Nb 0.3750 0.3461 0.4711  2 Cr 2.37, 2 Cl 2.51
Nb 0.6539 0.1250 0.0289  2 Cr 2.37, 2 Cl 2.51
Nb 0.8750 0.9039 0.5289  2 Cr 2.37, 2 Cl 2.51
Cr 0.0000 0.0000 0.0000  4 Nb 2.37
Cr 0.7500 0.2500 0.5000  4 Nb 2.37
Cl 0.2500 0.7500 0.5000  4 Nb 2.51
Cl 0.5000 0.5000 0.0000  4 Nb 2.51

---

First-principles (PBE) data for crystalline Nb3CrCl at its relaxed geometry, as listed in Alexandria via LeMat-Bulk.

Results
- crystal system = cubic

Cell: 4.6949 4.6949 4.6949 Å, 90.00 90.00 90.00°
With the nearest neighbours (Å) after each atom.
Sites, in units of the cell vectors:
Nb 0.0000 0.0000 0.5000  2 Cr 2.35
Nb 0.0000 0.5000 0.0000  2 Cr 2.35
Nb 0.5000 0.0000 0.0000  2 Cr 2.35
Cr 0.0000 0.0000 0.0000  6 Nb 2.35
Cl 0.5000 0.5000 0.5000  12 Nb 3.32

---

Result set for uncorrected formation energy: 0.979; 1.107 eV per atom, one per record in the order listed.
Result set for M_tot: 0.00; 0.00 μB/f.u., one per record in the order listed.
Result set for E_tot: -6.924; -7.228 eV per atom, one per record in the order listed.